1.
# CaPr2In4 (PBE-GGA, relaxed)
# E, eV per formula unit: -24.6
# Volume, Å³/atom: 30.97
data_CaPr2In4
_cell_length_a 5.350
_cell_length_b 5.350
_cell_length_c 15.147
_cell_angle_alpha 90.00
_cell_angle_beta 90.00
_cell_angle_gamma 90.00
_space_group_name_H-M_alt 'I 4/m m m'
_space_group_IT_number 139
_space_group_name_Hall '-I 4 2'
loop_
_atom_site_label
_atom_site_type_symbol
_atom_site_fract_x
_atom_site_fract_y
_atom_site_fract_z
_atom_site_occupancy
Ca1 Ca 0.000 0.000 0.000 1
Pr1 Pr 0.000 0.000 0.252 1
In1 In 0.000 0.500 0.111 1

2.
# V3ReTc2 (PBE-GGA, relaxed)
# E, eV per formula unit: -62.7
# Volume, Å³/atom: 13.92
data_V3ReTc2
_cell_length_a 3.033
_cell_length_b 3.033
_cell_length_c 9.075
_cell_angle_alpha 90.00
_cell_angle_beta 90.00
_cell_angle_gamma 90.00
_space_group_name_H-M_alt 'P 4/m m m'
_space_group_IT_number 123
_space_group_name_Hall '-P 4 2'
loop_
_atom_site_label
_atom_site_type_symbol
_atom_site_fract_x
_atom_site_fract_y
_atom_site_fract_z
_atom_site_occupancy
V1 V 0.000 0.000 0.000 1
V2 V 0.000 0.000 0.332 1
Re1 Re 0.500 0.500 0.500 1
Tc1 Tc 0.500 0.500 0.166 1

3.
# PaPd2PtRh (PBE-GGA, relaxed)
# E, eV per formula unit: -34.9
# Volume, Å³/atom: 18.73
data_PaPd2PtRh
_cell_length_a 3.745
_cell_length_b 3.745
_cell_length_c 13.361
_cell_angle_alpha 90.00
_cell_angle_beta 90.00
_cell_angle_gamma 90.00
_space_group_name_H-M_alt 'I 4 m m'
_space_group_IT_number 107
_space_group_name_Hall 'I 4 -2'
loop_
_atom_site_label
_atom_site_type_symbol
_atom_site_fract_x
_atom_site_fract_y
_atom_site_fract_z
_atom_site_occupancy
Pa1 Pa 0.000 0.000 0.000 1
Pd1 Pd 0.000 0.500 0.341 1
Pt1 Pt 0.000 0.000 0.190 1
Rh1 Rh 0.000 0.000 0.604 1

4.
# TaCd2Co (PBE-GGA, relaxed)
# Energy above the lowest structure with this stoichiometry, meV per atom: 328.9
# Volume, Å³/atom: 17.65
data_TaCd2Co
_cell_length_a 2.8987
_cell_length_b 2.8987
_cell_length_c 29.1017
_cell_angle_alpha 90.00
_cell_angle_beta 90.00
_cell_angle_gamma 120.00
_space_group_name_H-M_alt 'R -3 m'
_space_group_IT_number 166
_space_group_name_Hall '-R 3 2"'
loop_
_atom_site_label
_atom_site_type_symbol
_atom_site_fract_x
_atom_site_fract_y
_atom_site_fract_z
_atom_site_occupancy
Ta1 Ta 0.0000 0.0000 0.0000 1
Cd1 Cd 0.0000 0.0000 0.2427 1
Co1 Co 0.0000 0.0000 0.5000 1

5.
# Li2GeHIr (PBE-GGA, relaxed)
# E, eV per formula unit: -22.2
# Volume, Å³/atom: 11.09
data_Li2GeHIr
_cell_length_a 3.776
_cell_length_b 3.776
_cell_length_c 3.889
_cell_angle_alpha 90.00
_cell_angle_beta 90.00
_cell_angle_gamma 90.00
_space_group_name_H-M_alt 'P 4/m m m'
_space_group_IT_number 123
_space_group_name_Hall '-P 4 2'
loop_
_atom_site_label
_atom_site_type_symbol
_atom_site_fract_x
_atom_site_fract_y
_atom_site_fract_z
_atom_site_occupancy
Li1 Li 0.000 0.500 0.000 1
Ge1 Ge 0.000 0.000 0.500 1
H1 H 0.500 0.500 0.000 1
Ir1 Ir 0.500 0.500 0.500 1